[1]
Entry from Alexandria: crystalline AlAg3 at its relaxed geometry (PBE).

The structure in POSCAR format:
```
AlAg3
1.0
3.019 0.000 0.000
0.000 9.725 -0.225
0.000 -1.261 4.736
Ag Al
6 2
direct
0.500 0.257 0.271
0.000 0.997 0.985
0.000 0.253 0.765
0.000 0.729 0.192
0.000 0.521 0.558
0.500 0.993 0.479
0.500 0.485 0.033
0.500 0.765 0.717
```

[2]
Entry from Alexandria: crystalline NaTaTlPt2 at its relaxed geometry (PBE).

The structure in POSCAR format:
```
NaTaTlPt2
1.0
-0.314 -2.730 -3.745
3.713 -2.497 1.508
-2.852 -2.845 2.313
Tl Pt Na Ta
1 2 1 1
direct
0.000 0.500 0.000
0.500 0.000 0.000
0.000 0.000 0.500
0.000 0.000 0.000
0.500 0.500 0.500
```

VASP energy values (in eV/atom) by entry order: -3.10; -4.13.
DFT formation energy values (in eV/atom) by entry order: -0.0252; 1.3945.